Compound: Na2SrLaPt
Source: Alexandria via LeMat-Bulk
Functional: GGA-PBE
Structure: relaxed

Cell: 5.5702 5.5702 5.6973 Å, 90.00 90.00 90.00°
Fractional coordinates of all 5 atoms:
1 Na 0.0000 0.5000 0.0000
2 Na 0.5000 0.0000 0.0000
3 Sr 0.0000 0.0000 0.5000
4 La 0.5000 0.5000 0.5000
5 Pt 0.0000 0.0000 0.0000

Values from the calculation:
space group = No. 123
VASP energy = -2.894 eV per atom
magnetization = 0.79 μB/f.u.
ΔH_f (0 K) = 0.82 eV/f.u.